This record from the Alexandria database describes a relaxed Ba6Pt2RhI2 crystal. The functional is PBE.

Calculated values
Energy relative to the elements, uncorrected (meV/atom): -856
Magnetization (μB per cell): 0.00

```
11
Lattice="3.990 -6.915 0.000 3.990 6.915 0.000 -2.650 0.000 8.742" Properties=species:S:1:pos:R:3 pbc="T T T"
Ba 1.290 2.294 1.706
Ba -0.086 0.000 7.050
Ba 1.290 -2.294 1.706
Ba 4.040 2.294 7.036
Ba 5.416 0.000 1.692
Ba 4.040 -2.294 7.036
Pt 3.990 2.320 0.000
Pt 3.990 -2.320 0.000
Rh 0.000 0.000 0.000
I 2.665 4.612 4.371
I 2.665 -4.612 4.371
```